[1]
# TbTaRu2 PBE optimized geometry
data_TbTaRu2
_chemical_formula_sum 'Tb4 Ta4 Ru8'
_cell_length_a 6.5520
_cell_length_b 6.5520
_cell_length_c 6.5520
_cell_angle_alpha 90.00
_cell_angle_beta 90.00
_cell_angle_gamma 90.00
_symmetry_space_group_name_H-M 'F m -3 m'
_symmetry_Int_Tables_number 225
_symmetry_space_group_name_Hall '-F 4 2 3'
loop_
_atom_site_label
_atom_site_type_symbol
_atom_site_fract_x
_atom_site_fract_y
_atom_site_fract_z
Tb1 Tb 0.0000 0.0000 0.0000
Ta1 Ta 0.0000 0.0000 0.5000
Ru1 Ru 0.2500 0.2500 0.2500
# - ΔE_f (meV per atom) = -325
# - density of states at the Fermi level (states/eV/cell) = 0.19

***

[2]
# TbTaRu PBE optimized geometry
data_TbTaRu
_chemical_formula_sum 'Tb2 Ta2 Ru2'
_cell_length_a 5.4833
_cell_length_b 4.4148
_cell_length_c 5.5953
_cell_angle_alpha 90.00
_cell_angle_beta 105.11
_cell_angle_gamma 90.00
_symmetry_space_group_name_H-M 'P 1 21/m 1'
_symmetry_Int_Tables_number 11
loop_
_symmetry_equiv_pos_as_xyz
'x,y,z'
'-x,-y,-z'
'-x,y+1/2,-z'
'x,-y+1/2,z'
loop_
_atom_site_label
_atom_site_type_symbol
_atom_site_fract_x
_atom_site_fract_y
_atom_site_fract_z
Tb1 Tb 0.2346 0.2500 0.4263
Ta1 Ta 0.3397 0.7500 0.9655
Ru1 Ru 0.0973 0.2500 0.8838
# - ΔE_f (meV per atom) = -119
# - density of states at the Fermi level (states/eV/cell) = 7.07

***

[3]
# Tb5TaRu6 PBE optimized geometry
data_Tb5TaRu6
_chemical_formula_sum 'Tb10 Ta2 Ru12'
_cell_length_a 4.7664
_cell_length_b 6.7793
_cell_length_c 14.2354
_cell_angle_alpha 90.00
_cell_angle_beta 90.00
_cell_angle_gamma 90.00
_symmetry_space_group_name_H-M 'I m m m'
_symmetry_Int_Tables_number 71
_symmetry_space_group_name_Hall '-I 2 2'
loop_
_atom_site_label
_atom_site_type_symbol
_atom_site_fract_x
_atom_site_fract_y
_atom_site_fract_z
Tb1 Tb 0.0000 0.0000 0.0000
Tb2 Tb 0.0000 0.0000 0.3328
Tb3 Tb 0.0000 0.5000 0.3348
Ta1 Ta 0.0000 0.5000 0.0000
Ru1 Ru 0.0000 0.2278 0.5000
Ru2 Ru 0.0000 0.2631 0.1563
# - ΔE_f (meV per atom) = -336
# - density of states at the Fermi level (states/eV/cell) = 14.94

***

[4]
# TbTaTcRu PBE optimized geometry
data_TbTaTcRu
_chemical_formula_sum 'Tb4 Ta4 Tc4 Ru4'
_cell_length_a 6.5667
_cell_length_b 6.5667
_cell_length_c 6.5667
_cell_angle_alpha 90.00
_cell_angle_beta 90.00
_cell_angle_gamma 90.00
_symmetry_space_group_name_H-M 'F -4 3 m'
_symmetry_Int_Tables_number 216
_symmetry_space_group_name_Hall 'F -4 2 3'
loop_
_atom_site_label
_atom_site_type_symbol
_atom_site_fract_x
_atom_site_fract_y
_atom_site_fract_z
Tb1 Tb 0.0000 0.0000 0.0000
Ta1 Ta 0.0000 0.0000 0.5000
Tc1 Tc 0.2500 0.2500 0.7500
Ru1 Ru 0.2500 0.2500 0.2500
# - ΔE_f (meV per atom) = -222
# - density of states at the Fermi level (states/eV/cell) = 11.08

***

[5]
# Ta4Tc3Ru PBE optimized geometry
data_Ta4Tc3Ru
_chemical_formula_sum 'Ta4 Tc3 Ru1'
_cell_length_a 3.1943
_cell_length_b 4.4960
_cell_length_c 8.9868
_cell_angle_alpha 90.00
_cell_angle_beta 90.00
_cell_angle_gamma 90.00
_symmetry_space_group_name_H-M 'P m m m'
_symmetry_Int_Tables_number 47
loop_
_symmetry_equiv_pos_as_xyz
'x,y,z'
'-x,-y,-z'
'-x,-y,z'
'x,y,-z'
'x,-y,-z'
'-x,y,z'
'-x,y,-z'
'x,-y,z'
loop_
_atom_site_label
_atom_site_type_symbol
_atom_site_fract_x
_atom_site_fract_y
_atom_site_fract_z
Ta1 Ta 0.0000 0.0000 0.0000
Ta2 Ta 0.0000 0.0000 0.5000
Ta3 Ta 0.0000 0.5000 0.2474
Tc1 Tc 0.5000 0.0000 0.2525
Tc2 Tc 0.5000 0.5000 0.0000
Ru1 Ru 0.5000 0.5000 0.5000
# - ΔE_f (meV per atom) = -469
# - density of states at the Fermi level (states/eV/cell) = 2.16

***

[6]
# TaTcRu PBE optimized geometry
data_TaTcRu
_chemical_formula_sum 'Ta4 Tc4 Ru4'
_cell_length_a 6.0223
_cell_length_b 6.0223
_cell_length_c 6.0223
_cell_angle_alpha 90.00
_cell_angle_beta 90.00
_cell_angle_gamma 90.00
_symmetry_space_group_name_H-M 'F -4 3 m'
_symmetry_Int_Tables_number 216
_symmetry_space_group_name_Hall 'F -4 2 3'
loop_
_atom_site_label
_atom_site_type_symbol
_atom_site_fract_x
_atom_site_fract_y
_atom_site_fract_z
Ta1 Ta 0.0000 0.0000 0.0000
Tc1 Tc 0.0000 0.0000 0.5000
Ru1 Ru 0.2500 0.2500 0.7500
# - relative energy among the computed polymorphs (eV per atom) = 0.5356
# - ΔE_f (meV per atom) = 461
# - density of states at the Fermi level (states/eV/cell) = 14.39

***

[7]
# TaTcRu3 PBE optimized geometry
data_TaTcRu3
_chemical_formula_sum 'Ta1 Tc1 Ru3'
_cell_length_a 4.6127
_cell_length_b 4.6127
_cell_length_c 4.6127
_cell_angle_alpha 90.00
_cell_angle_beta 90.00
_cell_angle_gamma 90.00
_symmetry_space_group_name_H-M 'P m -3 m'
_symmetry_Int_Tables_number 221
_symmetry_space_group_name_Hall '-P 4 2 3'
loop_
_atom_site_label
_atom_site_type_symbol
_atom_site_fract_x
_atom_site_fract_y
_atom_site_fract_z
Ta1 Ta 0.0000 0.0000 0.0000
Tc1 Tc 0.5000 0.5000 0.5000
Ru1 Ru 0.0000 0.0000 0.5000
# - relative energy among the computed polymorphs (eV per atom) = 0.3263
# - ΔE_f (meV per atom) = 1905
# - density of states at the Fermi level (states/eV/cell) = 11.29

***

[8]
# TaTc4Ru PBE optimized geometry
data_TaTc4Ru
_chemical_formula_sum 'Ta4 Tc16 Ru4'
_cell_length_a 7.2025
_cell_length_b 7.2025
_cell_length_c 7.2025
_cell_angle_alpha 90.00
_cell_angle_beta 90.00
_cell_angle_gamma 90.00
_symmetry_space_group_name_H-M 'F -4 3 m'
_symmetry_Int_Tables_number 216
_symmetry_space_group_name_Hall 'F -4 2 3'
loop_
_atom_site_label
_atom_site_type_symbol
_atom_site_fract_x
_atom_site_fract_y
_atom_site_fract_z
Ta1 Ta 0.0000 0.0000 0.0000
Tc1 Tc 0.1250 0.1250 0.6250
Ru1 Ru 0.2500 0.2500 0.2500
# - ΔE_f (meV per atom) = 104
# - density of states at the Fermi level (states/eV/cell) = 23.35

***

[9]
# TaTc2Ru2 PBE optimized geometry
data_TaTc2Ru2
_chemical_formula_sum 'Ta2 Tc4 Ru4'
_cell_length_a 7.4426
_cell_length_b 7.4426
_cell_length_c 2.7872
_cell_angle_alpha 90.00
_cell_angle_beta 90.00
_cell_angle_gamma 90.00
_symmetry_space_group_name_H-M 'P 4/m b m'
_symmetry_Int_Tables_number 127
_symmetry_space_group_name_Hall '-P 4 2ab'
loop_
_atom_site_label
_atom_site_type_symbol
_atom_site_fract_x
_atom_site_fract_y
_atom_site_fract_z
Ta1 Ta 0.0000 0.0000 0.0000
Tc1 Tc 0.1228 0.3772 0.0000
Ru1 Ru 0.1725 0.6725 0.5000
# - relative energy among the computed polymorphs (eV per atom) = 0.0085
# - ΔE_f (meV per atom) = 66
# - density of states at the Fermi level (states/eV/cell) = 8.74

***

[10]
# TaTcRu3 PBE optimized geometry
data_TaTcRu3
_chemical_formula_sum 'Ta1 Tc1 Ru3'
_cell_length_a 4.5610
_cell_length_b 4.5610
_cell_length_c 4.5610
_cell_angle_alpha 90.00
_cell_angle_beta 90.00
_cell_angle_gamma 90.00
_symmetry_space_group_name_H-M 'P m -3 m'
_symmetry_Int_Tables_number 221
_symmetry_space_group_name_Hall '-P 4 2 3'
loop_
_atom_site_label
_atom_site_type_symbol
_atom_site_fract_x
_atom_site_fract_y
_atom_site_fract_z
Ta1 Ta 0.0000 0.0000 0.0000
Tc1 Tc 0.5000 0.5000 0.5000
Ru1 Ru 0.0000 0.5000 0.5000
# - relative energy among the computed polymorphs (eV per atom) = 0.0000
# - ΔE_f (meV per atom) = 1578
# - density of states at the Fermi level (states/eV/cell) = 7.14

***

[11]
# Ta4TcRu3 PBE optimized geometry
data_Ta4TcRu3
_chemical_formula_sum 'Ta4 Tc1 Ru3'
_cell_length_a 3.3006
_cell_length_b 4.4133
_cell_length_c 8.8212
_cell_angle_alpha 90.00
_cell_angle_beta 90.00
_cell_angle_gamma 90.00
_symmetry_space_group_name_H-M 'P m m m'
_symmetry_Int_Tables_number 47
loop_
_symmetry_equiv_pos_as_xyz
'x,y,z'
'-x,-y,-z'
'-x,-y,z'
'x,y,-z'
'x,-y,-z'
'-x,y,z'
'-x,y,-z'
'x,-y,z'
loop_
_atom_site_label
_atom_site_type_symbol
_atom_site_fract_x
_atom_site_fract_y
_atom_site_fract_z
Ta1 Ta 0.0000 0.0000 0.0000
Ta2 Ta 0.0000 0.0000 0.5000
Ta3 Ta 0.0000 0.5000 0.2492
Tc1 Tc 0.5000 0.5000 0.0000
Ru1 Ru 0.5000 0.0000 0.2534
Ru2 Ru 0.5000 0.5000 0.5000
# - ΔE_f (meV per atom) = -354
# - density of states at the Fermi level (states/eV/cell) = 6.73

***

[12]
# Ta4Tc2Ru PBE optimized geometry
data_Ta4Tc2Ru
_chemical_formula_sum 'Ta8 Tc4 Ru2'
_cell_length_a 6.2709
_cell_length_b 6.2709
_cell_length_c 6.3220
_cell_angle_alpha 90.00
_cell_angle_beta 90.00
_cell_angle_gamma 90.00
_symmetry_space_group_name_H-M 'I 4/m m m'
_symmetry_Int_Tables_number 139
_symmetry_space_group_name_Hall '-I 4 2'
loop_
_atom_site_label
_atom_site_type_symbol
_atom_site_fract_x
_atom_site_fract_y
_atom_site_fract_z
Ta1 Ta 0.2500 0.2500 0.2500
Tc1 Tc 0.0000 0.5000 0.0000
Ru1 Ru 0.0000 0.0000 0.0000
# - ΔE_f (meV per atom) = -128
# - density of states at the Fermi level (states/eV/cell) = 7.35

***

[13]
# Ta4TcRu2 PBE optimized geometry
data_Ta4TcRu2
_chemical_formula_sum 'Ta8 Tc2 Ru4'
_cell_length_a 6.2911
_cell_length_b 6.2911
_cell_length_c 6.2464
_cell_angle_alpha 90.00
_cell_angle_beta 90.00
_cell_angle_gamma 90.00
_symmetry_space_group_name_H-M 'I 4/m m m'
_symmetry_Int_Tables_number 139
_symmetry_space_group_name_Hall '-I 4 2'
loop_
_atom_site_label
_atom_site_type_symbol
_atom_site_fract_x
_atom_site_fract_y
_atom_site_fract_z
Ta1 Ta 0.2500 0.2500 0.2500
Tc1 Tc 0.0000 0.0000 0.0000
Ru1 Ru 0.0000 0.5000 0.0000
# - ΔE_f (meV per atom) = -114
# - density of states at the Fermi level (states/eV/cell) = 8.75